Compound: Cr2OsPbO8
Source: the Alexandria database
Functional: GGA+U
Structure: optimized geometry

Mass density = 7.43 g/cm³
Symmetry = No. 65
E = -7.12 eV per atom
Total magnetization = 0.508 μB/atom
Crystal system = orthorhombic

a = 4.6671 Å, b = 4.6658 Å, c = 6.4610 Å
α = 90.00°, β = 90.00°, γ = 90.31°
Element x y z (fractional)
Cr  0.5000  0.5000  0.7525
Cr  0.5000  0.5000  0.2475
Os  0.0000  0.0000  0.0000
Pb  0.0000  0.0000  0.5000
O  0.1981  0.8015  0.2199
O  0.7097  0.7100  0.0000
O  0.8019  0.1985  0.2199
O  0.8019  0.1985  0.7801
O  0.2903  0.2900  0.0000
O  0.1981  0.8015  0.7801
O  0.6750  0.6754  0.5000
O  0.3250  0.3246  0.5000